Entry 1:
# Zr2Si4NiPt3 | Alexandria | GGA-PBE | relaxed
data_Zr2Si4NiPt3
_chemical_formula_sum 'Zr2 Si4 Ni1 Pt3'
_cell_length_a 3.861
_cell_length_b 3.861
_cell_length_c 10.655
_cell_angle_alpha 90.00
_cell_angle_beta 90.00
_cell_angle_gamma 90.00
_space_group_name_H-M_alt 'P 1'
_space_group_IT_number 1
_space_group_name_Hall 'P 1'
loop_
_atom_site_label
_atom_site_type_symbol
_atom_site_fract_x
_atom_site_fract_y
_atom_site_fract_z
Zr1 Zr 0.000 0.500 0.221
Zr2 Zr 0.500 0.000 0.779
Si1 Si 0.000 0.000 0.500
Si2 Si 0.000 0.500 0.864
Si3 Si 0.500 0.000 0.136
Si4 Si 0.500 0.500 0.500
Ni1 Ni 0.500 0.500 0.000
Pt1 Pt 0.000 0.000 0.000
Pt2 Pt 0.000 0.500 0.641
Pt3 Pt 0.500 0.000 0.359
# Space group = P-4m2 (115)
# Total moment = 0.00 μB/f.u.
# DOS(E_F) = 0.401 states/eV per atom
# DFT total energy = -7.1712 eV/atom

Entry 2:
# Sm6NiPt2 | Alexandria | GGA-PBE | relaxed
data_Sm6NiPt2
_chemical_formula_sum 'Sm12 Ni2 Pt4'
_cell_length_a 6.733
_cell_length_b 7.308
_cell_length_c 11.906
_cell_angle_alpha 90.00
_cell_angle_beta 120.98
_cell_angle_gamma 90.00
_space_group_name_H-M_alt 'P 1'
_space_group_IT_number 1
_space_group_name_Hall 'P 1'
loop_
_atom_site_label
_atom_site_type_symbol
_atom_site_fract_x
_atom_site_fract_y
_atom_site_fract_z
Sm1 Sm 0.101 0.039 0.255
Sm2 Sm 0.101 0.461 0.755
Sm3 Sm 0.250 0.676 0.074
Sm4 Sm 0.250 0.824 0.574
Sm5 Sm 0.393 0.183 0.066
Sm6 Sm 0.393 0.317 0.566
Sm7 Sm 0.607 0.683 0.434
Sm8 Sm 0.607 0.817 0.934
Sm9 Sm 0.750 0.176 0.426
Sm10 Sm 0.750 0.324 0.926
Sm11 Sm 0.899 0.539 0.245
Sm12 Sm 0.899 0.961 0.745
Ni1 Ni 0.000 0.000 0.000
Ni2 Ni 0.000 0.500 0.500
Pt1 Pt 0.322 0.115 0.767
Pt2 Pt 0.322 0.385 0.267
Pt3 Pt 0.678 0.615 0.733
Pt4 Pt 0.678 0.885 0.233
# Space group = P2_1/c (14)
# Total moment = 0.00 μB/f.u.
# DOS(E_F) = 0.966 states/eV per atom
# DFT total energy = -5.7447 eV/atom
# DFT formation energy = -0.61 eV/atom

Entry 3:
# Sm2NiPt | Alexandria | GGA-PBE | relaxed
data_Sm2NiPt
_chemical_formula_sum 'Sm2 Ni1 Pt1'
_cell_length_a 5.000
_cell_length_b 5.000
_cell_length_c 3.490
_cell_angle_alpha 90.00
_cell_angle_beta 90.00
_cell_angle_gamma 90.00
_space_group_name_H-M_alt 'P 1'
_space_group_IT_number 1
_space_group_name_Hall 'P 1'
loop_
_atom_site_label
_atom_site_type_symbol
_atom_site_fract_x
_atom_site_fract_y
_atom_site_fract_z
Sm1 Sm 0.000 0.500 0.000
Sm2 Sm 0.500 0.000 0.000
Ni1 Ni 0.000 0.000 0.500
Pt1 Pt 0.500 0.500 0.500
# Space group = P4/mmm (123)
# Total moment = 0.00 μB/f.u.
# DOS(E_F) = 0.805 states/eV per atom
# DFT total energy = -6.0068 eV/atom
# DFT formation energy = -0.69 eV/atom

Entry 4:
# Sm5Ni2Pt12 | Alexandria | GGA-PBE | relaxed
data_Sm5Ni2Pt12
_chemical_formula_sum 'Sm5 Ni2 Pt12'
_cell_length_a 8.340
_cell_length_b 8.340
_cell_length_c 6.719
_cell_angle_alpha 93.29
_cell_angle_beta 93.29
_cell_angle_gamma 51.45
_space_group_name_H-M_alt 'P 1'
_space_group_IT_number 1
_space_group_name_Hall 'P 1'
loop_
_atom_site_label
_atom_site_type_symbol
_atom_site_fract_x
_atom_site_fract_y
_atom_site_fract_z
Sm1 Sm 0.000 0.000 0.000
Sm2 Sm 0.242 0.242 0.929
Sm3 Sm 0.313 0.313 0.450
Sm4 Sm 0.687 0.687 0.550
Sm5 Sm 0.758 0.758 0.071
Ni1 Ni 0.305 0.695 0.500
Ni2 Ni 0.695 0.305 0.500
Pt1 Pt 0.042 0.670 0.745
Pt2 Pt 0.112 0.112 0.594
Pt3 Pt 0.199 0.601 0.150
Pt4 Pt 0.330 0.958 0.255
Pt5 Pt 0.399 0.801 0.850
Pt6 Pt 0.444 0.444 0.805
Pt7 Pt 0.556 0.556 0.195
Pt8 Pt 0.601 0.199 0.150
Pt9 Pt 0.670 0.042 0.745
Pt10 Pt 0.801 0.399 0.850
Pt11 Pt 0.888 0.888 0.406
Pt12 Pt 0.958 0.330 0.255
# Space group = C2/m (12)
# Total moment = 0.00 μB/f.u.
# DOS(E_F) = 0.610 states/eV per atom
# DFT total energy = -6.4544 eV/atom
# DFT formation energy = -0.79 eV/atom

Entry 5:
# Sm3NiPt8 | Alexandria | GGA-PBE | relaxed
data_Sm3NiPt8
_chemical_formula_sum 'Sm3 Ni1 Pt8'
_cell_length_a 9.411
_cell_length_b 9.411
_cell_length_c 9.411
_cell_angle_alpha 33.59
_cell_angle_beta 33.59
_cell_angle_gamma 33.59
_space_group_name_H-M_alt 'P 1'
_space_group_IT_number 1
_space_group_name_Hall 'P 1'
loop_
_atom_site_label
_atom_site_type_symbol
_atom_site_fract_x
_atom_site_fract_y
_atom_site_fract_z
Sm1 Sm 0.000 0.000 0.000
Sm2 Sm 0.131 0.131 0.131
Sm3 Sm 0.608 0.608 0.608
Ni1 Ni 0.476 0.476 0.476
Pt1 Pt 0.059 0.059 0.564
Pt2 Pt 0.059 0.564 0.059
Pt3 Pt 0.061 0.561 0.561
Pt4 Pt 0.310 0.310 0.310
Pt5 Pt 0.561 0.061 0.561
Pt6 Pt 0.561 0.561 0.061
Pt7 Pt 0.564 0.059 0.059
Pt8 Pt 0.811 0.811 0.811
# Space group = R3m (160)
# Total moment = 0.44 μB/f.u.
# DOS(E_F) = 1.064 states/eV per atom
# DFT total energy = -6.5364 eV/atom
# DFT formation energy = -0.85 eV/atom

Entry 6:
# SmNi6Pt6 | Alexandria | GGA-PBE | relaxed
data_SmNi6Pt6
_chemical_formula_sum 'Sm1 Ni6 Pt6'
_cell_length_a 6.645
_cell_length_b 6.645
_cell_length_c 6.645
_cell_angle_alpha 136.04
_cell_angle_beta 98.84
_cell_angle_gamma 97.26
_space_group_name_H-M_alt 'P 1'
_space_group_IT_number 1
_space_group_name_Hall 'P 1'
loop_
_atom_site_label
_atom_site_type_symbol
_atom_site_fract_x
_atom_site_fract_y
_atom_site_fract_z
Sm1 Sm 0.000 0.000 0.000
Ni1 Ni 0.000 0.000 0.500
Ni2 Ni 0.000 0.500 0.000
Ni3 Ni 0.233 0.733 0.500
Ni4 Ni 0.500 0.000 0.000
Ni5 Ni 0.500 0.500 0.500
Ni6 Ni 0.767 0.267 0.500
Pt1 Pt 0.202 0.500 0.702
Pt2 Pt 0.343 0.343 0.000
Pt3 Pt 0.344 0.000 0.344
Pt4 Pt 0.656 0.000 0.656
Pt5 Pt 0.657 0.657 0.000
Pt6 Pt 0.798 0.500 0.298
# Space group = Immm (71)
# Total moment = 5.36 μB/f.u.
# DOS(E_F) = 1.285 states/eV per atom
# DFT total energy = -6.1261 eV/atom
# DFT formation energy = -0.31 eV/atom

Entry 7:
# Sm3Ni8Pt | Alexandria | GGA-PBE | relaxed
data_Sm3Ni8Pt
_chemical_formula_sum 'Sm3 Ni8 Pt1'
_cell_length_a 8.762
_cell_length_b 8.762
_cell_length_c 8.762
_cell_angle_alpha 33.39
_cell_angle_beta 33.39
_cell_angle_gamma 33.39
_space_group_name_H-M_alt 'P 1'
_space_group_IT_number 1
_space_group_name_Hall 'P 1'
loop_
_atom_site_label
_atom_site_type_symbol
_atom_site_fract_x
_atom_site_fract_y
_atom_site_fract_z
Sm1 Sm 0.000 0.000 0.000
Sm2 Sm 0.131 0.131 0.131
Sm3 Sm 0.612 0.612 0.612
Ni1 Ni 0.058 0.058 0.563
Ni2 Ni 0.058 0.563 0.058
Ni3 Ni 0.065 0.560 0.560
Ni4 Ni 0.311 0.311 0.311
Ni5 Ni 0.560 0.065 0.560
Ni6 Ni 0.560 0.560 0.065
Ni7 Ni 0.563 0.058 0.058
Ni8 Ni 0.811 0.811 0.811
Pt1 Pt 0.492 0.492 0.492
# Space group = R3m (160)
# Total moment = 0.00 μB/f.u.
# DOS(E_F) = 1.080 states/eV per atom
# DFT total energy = -5.9162 eV/atom
# DFT formation energy = -0.38 eV/atom

Entry 8:
# Sm3NiPt | Alexandria | GGA-PBE | relaxed
data_Sm3NiPt
_chemical_formula_sum 'Sm12 Ni4 Pt4'
_cell_length_a 7.438
_cell_length_b 6.894
_cell_length_c 11.144
_cell_angle_alpha 90.00
_cell_angle_beta 119.50
_cell_angle_gamma 90.00
_space_group_name_H-M_alt 'P 1'
_space_group_IT_number 1
_space_group_name_Hall 'P 1'
loop_
_atom_site_label
_atom_site_type_symbol
_atom_site_fract_x
_atom_site_fract_y
_atom_site_fract_z
Sm1 Sm 0.097 0.184 0.233
Sm2 Sm 0.097 0.316 0.733
Sm3 Sm 0.302 0.509 0.066
Sm4 Sm 0.302 0.991 0.566
Sm5 Sm 0.353 0.512 0.571
Sm6 Sm 0.353 0.988 0.071
Sm7 Sm 0.647 0.012 0.929
Sm8 Sm 0.647 0.488 0.429
Sm9 Sm 0.698 0.009 0.434
Sm10 Sm 0.698 0.491 0.934
Sm11 Sm 0.903 0.684 0.267
Sm12 Sm 0.903 0.816 0.767
Ni1 Ni 0.001 0.699 0.555
Ni2 Ni 0.001 0.801 0.055
Ni3 Ni 0.999 0.199 0.945
Ni4 Ni 0.999 0.301 0.445
Pt1 Pt 0.317 0.713 0.818
Pt2 Pt 0.317 0.787 0.318
Pt3 Pt 0.683 0.213 0.682
Pt4 Pt 0.683 0.287 0.182
# Space group = P2_1/c (14)
# Total moment = 0.00 μB/f.u.
# DOS(E_F) = 0.834 states/eV per atom
# DFT total energy = -5.7877 eV/atom
# DFT formation energy = -0.59 eV/atom

Entry 9:
# Sm2Ni2Pt15 | Alexandria | GGA-PBE | relaxed
data_Sm2Ni2Pt15
_chemical_formula_sum 'Sm2 Ni2 Pt15'
_cell_length_a 6.958
_cell_length_b 6.958
_cell_length_c 6.958
_cell_angle_alpha 82.98
_cell_angle_beta 82.98
_cell_angle_gamma 82.98
_space_group_name_H-M_alt 'P 1'
_space_group_IT_number 1
_space_group_name_Hall 'P 1'
loop_
_atom_site_label
_atom_site_type_symbol
_atom_site_fract_x
_atom_site_fract_y
_atom_site_fract_z
Sm1 Sm 0.165 0.165 0.165
Sm2 Sm 0.835 0.835 0.835
Ni1 Ni 0.405 0.405 0.405
Ni2 Ni 0.595 0.595 0.595
Pt1 Pt 0.000 0.500 0.500
Pt2 Pt 0.155 0.155 0.656
Pt3 Pt 0.155 0.656 0.155
Pt4 Pt 0.192 0.500 0.808
Pt5 Pt 0.192 0.808 0.500
Pt6 Pt 0.344 0.845 0.845
Pt7 Pt 0.500 0.000 0.500
Pt8 Pt 0.500 0.192 0.808
Pt9 Pt 0.500 0.500 0.000
Pt10 Pt 0.500 0.808 0.192
Pt11 Pt 0.656 0.155 0.155
Pt12 Pt 0.808 0.192 0.500
Pt13 Pt 0.808 0.500 0.192
Pt14 Pt 0.845 0.344 0.845
Pt15 Pt 0.845 0.845 0.344
# Space group = R-3m (166)
# Total moment = 1.46 μB/f.u.
# DOS(E_F) = 1.205 states/eV per atom
# DFT total energy = -6.2543 eV/atom
# DFT formation energy = -0.38 eV/atom

Entry 10:
# Sm2Ni5Pt5 | Alexandria | GGA-PBE | relaxed
data_Sm2Ni5Pt5
_chemical_formula_sum 'Sm2 Ni5 Pt5'
_cell_length_a 4.242
_cell_length_b 5.099
_cell_length_c 9.122
_cell_angle_alpha 90.00
_cell_angle_beta 90.00
_cell_angle_gamma 90.00
_space_group_name_H-M_alt 'P 1'
_space_group_IT_number 1
_space_group_name_Hall 'P 1'
loop_
_atom_site_label
_atom_site_type_symbol
_atom_site_fract_x
_atom_site_fract_y
_atom_site_fract_z
Sm1 Sm 0.000 0.000 0.000
Sm2 Sm 0.000 0.500 0.500
Ni1 Ni 0.500 0.000 0.500
Ni2 Ni 0.500 0.248 0.257
Ni3 Ni 0.500 0.248 0.743
Ni4 Ni 0.500 0.752 0.257
Ni5 Ni 0.500 0.752 0.743
Pt1 Pt 0.000 0.000 0.335
Pt2 Pt 0.000 0.000 0.665
Pt3 Pt 0.000 0.500 0.180
Pt4 Pt 0.000 0.500 0.820
Pt5 Pt 0.500 0.500 0.000
# Space group = Pmmm (47)
# Total moment = 1.97 μB/f.u.
# DOS(E_F) = 0.998 states/eV per atom
# DFT total energy = -6.2746 eV/atom
# DFT formation energy = -0.56 eV/atom